VASP calculation (PBE) on crystalline Tb2Dy3Ho5 at its relaxed geometry.

a b c (Å): 10.5587 15.6505 9.3982
angles (deg): 90.00 124.10 90.00
Space group C2/c (No. 15)
Inequivalent atoms, fractional coordinates:
Tb  0.1404  0.1280  0.0467 (multiplicity 8)
Dy  0.0000  0.0208  0.2500 (multiplicity 4)
Dy  0.1570  0.3777  0.5479 (multiplicity 8)
Ho  0.0000  0.2296  0.2500 (multiplicity 4)
Ho  0.0000  0.2758  0.7500 (multiplicity 4)
Ho  0.0000  0.4737  0.7500 (multiplicity 4)
Ho  0.2323  0.3756  0.2160 (multiplicity 8)

The value obtained for the magnetic moment is 0.0 Bohr magnetons per cell. The calculation puts the total energy at -4.392 eV/atom.